<A>
Below is TbPm6Dy2 after structural relaxation, with properties calculated at the PBE-GGA level.

The structure belongs to space group C2/c (No. 15); the cell edges are 16.443, 11.778 and 6.225 Å and the angles 90.00°, 95.98° and 90.00°. Symmetry generates all atoms from Tb at (0.000, 0.098, 0.250), Pm at (0.047, 0.359, 0.514), Pm at (0.120, 0.141, 0.819), Pm at (0.214, 0.141, 0.347) and Dy at (0.167, 0.402, 0.083).

=====

<B>
Below is TbPm6Dy2 after structural relaxation, with properties calculated at the PBE-GGA level.

The structure belongs to space group Cmmm (No. 65); the cell edges are 9.389, 17.689 and 3.654 Å and the angles 90.00°, 90.00° and 90.00°. Symmetry generates all atoms from Tb at (0.000, 0.000, 0.000), Pm at (0.176, 0.335, 0.000), Pm at (0.183, 0.500, 0.500) and Dy at (0.000, 0.179, 0.500).

=====

Which is less stable than every other structure shown? <B> is.